No. 1
Entry from Alexandria: a geometry-optimized AlCu2Ru structure (PBE-GGA).

Output
VASP energy in eV per atom: -5.346
ΔE_f in meV per atom: -43
Mass density in g/cm3: 8.0
Symmetry: Cmmm

Cell lengths 4.5887, 4.5887, 2.7008 Å; angles 90.00, 90.00, 112.05 degrees
Atoms (fractional coordinates):
Al 0.0000 0.0000 0.0000
Cu 0.0000 0.5000 0.5000
Cu 0.5000 0.0000 0.5000
Ru 0.5000 0.5000 0.0000

=====

No. 2
Entry from Alexandria: a geometry-optimized SrFePt4 structure (PBE-GGA).

Output
VASP energy in eV per atom: -5.970
ΔE_f in meV per atom: -252
Mass density in g/cm3: 13.8
Symmetry: F-43m

Cell lengths 5.3999, 5.3999, 5.3999 Å; angles 60.00, 60.00, 60.00 degrees
Atoms (fractional coordinates):
Sr 0.0000 0.0000 0.0000
Fe 0.7500 0.7500 0.7500
Pt 0.3754 0.3754 0.3754
Pt 0.3754 0.3754 0.8738
Pt 0.3754 0.8738 0.3754
Pt 0.8738 0.3754 0.3754

=====

No. 3
Entry from Alexandria: a geometry-optimized HoAs6Pd12 structure (PBE-GGA).

Output
VASP energy in eV per atom: -5.337
ΔE_f in meV per atom: -348
Mass density in g/cm3: 9.3
Symmetry: R-3m

Cell lengths 7.3243, 7.3243, 7.3243 Å; angles 105.67, 105.67, 105.67 degrees
Atoms (fractional coordinates):
Ho 0.0000 0.0000 0.0000
As 0.2536 0.2536 0.6687
As 0.2536 0.6687 0.2536
As 0.3313 0.7464 0.7464
As 0.6687 0.2536 0.2536
As 0.7464 0.3313 0.7464
As 0.7464 0.7464 0.3313
Pd 0.1260 0.5000 0.8740
Pd 0.1260 0.8740 0.5000
Pd 0.1346 0.3778 0.3778
Pd 0.3778 0.1346 0.3778
Pd 0.3778 0.3778 0.1346
Pd 0.5000 0.1260 0.8740
Pd 0.5000 0.8740 0.1260
Pd 0.6222 0.6222 0.8654
Pd 0.6222 0.8654 0.6222
Pd 0.8654 0.6222 0.6222
Pd 0.8740 0.1260 0.5000
Pd 0.8740 0.5000 0.1260